Entry from the Alexandria database: crystalline K3NiSe2O8 at its relaxed geometry (GGA+U).

Properties
Fermi-level density of states = 0.254 states/eV per atom
E_tot = -4.870 eV per atom
Total magnetic moment = 1.538 μB/cell

a = 5.7928 Å, b = 5.7928 Å, c = 7.5754 Å
α = 90.00°, β = 90.00°, γ = 120.00°
Space group P-3m1 (No. 164)
Asymmetric unit:
K1 0.0000 0.0000 0.0000 x1
K2 0.3333 0.6667 0.6810 x2
Ni1 0.0000 0.0000 0.5000 x1
Se1 0.3333 0.6667 0.2480 x2
O1 0.1702 0.3404 0.3265 x6
O2 0.3333 0.6667 0.0268 x2